ReNiAs: optimized geometry, GGA-PBE.

## Properties
Total DFT energy (no corrections)   -22.2 eV per cell
Symmetry   I4mm (107)
Mass density   12.98 g/cm³
ΔE_f   0.231 eV per atom

Lattice parameters (Å, degrees): 4.8737 4.8737 4.8737 143.39 143.39 52.74
Positions (direct):
Re 0.0000 0.0000 0.0000
Ni 0.3209 0.3209 0.0000
As 0.6668 0.6668 0.0000

***

ReNi4As: optimized geometry, GGA-PBE.

## Properties
Total DFT energy (no corrections)   -38.4 eV per cell
Symmetry   F-43m (216)
Mass density   11.12 g/cm³
ΔE_f   0.310 eV per atom

Lattice parameters (Å, degrees): 4.7138 4.7138 4.7138 60.00 60.00 60.00
Positions (direct):
Re 0.0000 0.0000 0.0000
Ni 0.3742 0.3742 0.3742
Ni 0.3742 0.3742 0.8773
Ni 0.3742 0.8773 0.3742
Ni 0.8773 0.3742 0.3742
As 0.7500 0.7500 0.7500

***

ReNiAs: optimized geometry, GGA-PBE.

## Properties
Total DFT energy (no corrections)   -21.8 eV per cell
Symmetry   F-43m (216)
Mass density   10.84 g/cm³
ΔE_f   0.368 eV per atom

Lattice parameters (Å, degrees): 4.1067 4.1067 4.1067 60.00 60.00 60.00
Positions (direct):
Re 0.0000 0.0000 0.0000
Ni 0.7500 0.7500 0.7500
As 0.2500 0.2500 0.2500

***

ReNiAs2: optimized geometry, GGA-PBE.

## Properties
Total DFT energy (no corrections)   -25.6 eV per cell
Symmetry   C2/m (12)
Mass density   10.62 g/cm³
ΔE_f   0.482 eV per atom

Lattice parameters (Å, degrees): 4.9784 4.9784 3.0619 107.79 107.79 107.95
Positions (direct):
Re 0.0000 0.0000 0.0000
Ni 0.5000 0.5000 0.0000
As 0.0000 0.5000 0.0000
As 0.5000 0.0000 0.0000

***

ReNiAs2: optimized geometry, GGA-PBE.

## Properties
Total DFT energy (no corrections)   -26.3 eV per cell
Symmetry   Immm (71)
Mass density   11.24 g/cm³
ΔE_f   0.309 eV per atom

Lattice parameters (Å, degrees): 4.4978 4.4978 4.4978 128.20 122.19 81.31
Positions (direct):
Re 0.0000 0.0000 0.0000
Ni 0.5000 0.5000 0.0000
As 0.2699 0.7699 0.5000
As 0.7301 0.2301 0.5000

***

Re4NiAs: optimized geometry, GGA-PBE.

## Properties
Total DFT energy (no corrections)   -55.3 eV per cell
Symmetry   F-43m (216)
Mass density   14.76 g/cm³
ΔE_f   0.825 eV per atom

Lattice parameters (Å, degrees): 5.1895 5.1895 5.1895 60.00 60.00 60.00
Positions (direct):
Re 0.1243 0.1243 0.1243
Re 0.1243 0.1243 0.6272
Re 0.1243 0.6272 0.1243
Re 0.6272 0.1243 0.1243
Ni 0.7500 0.7500 0.7500
As 0.5000 0.5000 0.5000

***

ReNi3As: optimized geometry, GGA-PBE.

## Properties
Total DFT energy (no corrections)   -27.5 eV per cell
Symmetry   Pm-3m (221)
Mass density   7.95 g/cm³
ΔE_f   1.390 eV per atom

Lattice parameters (Å, degrees): 4.5034 4.5034 4.5034 90.00 90.00 90.00
Positions (direct):
Re 0.0000 0.0000 0.0000
Ni 0.0000 0.0000 0.5000
Ni 0.0000 0.5000 0.0000
Ni 0.5000 0.0000 0.0000
As 0.5000 0.5000 0.5000

***

ReNiAs2: optimized geometry, GGA-PBE.

## Properties
Total DFT energy (no corrections)   -25.7 eV per cell
Symmetry   Cmmm (65)
Mass density   10.64 g/cm³
ΔE_f   0.456 eV per atom

Lattice parameters (Å, degrees): 2.9449 2.9449 7.9741 90.00 90.00 117.06
Positions (direct):
Re 0.0000 0.0000 0.0000
Ni 0.0000 0.0000 0.5000
As 0.5000 0.5000 0.2570
As 0.5000 0.5000 0.7430